Density functional theory data (PBE) for a relaxed CrFe2Re crystal.

abc: 4.855 4.855 4.855
angles: 144.34 130.92 62.13
Element x y z (fractional)
Cr (0.000, 0.000, 0.000)
Fe (0.246, 0.746, 0.500)
Fe (0.754, 0.254, 0.500)
Re (0.500, 0.500, 0.000)

- Raw total energy: -38.67 eV per cell
- Calculated formation energy: 83 meV per atom
- M_tot: 4.8 μB per formula unit

Density functional theory data (PBE) for a relaxed CrFeRe2 crystal.

abc: 4.540 4.540 4.540
angles: 130.40 130.40 72.76
Element x y z (fractional)
Cr (0.000, 0.000, 0.000)
Fe (0.500, 0.500, 0.000)
Re (0.250, 0.750, 0.500)
Re (0.750, 0.250, 0.500)

- Energy above the lowest structure with this stoichiometry: 18 meV per atom
- Raw total energy: -42.52 eV per cell
- Calculated formation energy: 115 meV per atom
- M_tot: 1.5 μB per formula unit